Entry 1:
## GaHgBi (PBE)

Data for a relaxed GaHgBi crystal.

Computed properties:
Energy of formation from the pure elements in eV/atom: 0.0812
Magnetic moment in μB per formula unit: 0.000
Energy above the most stable polymorph in this dataset in meV/atom: 26.1

a = 9.6704 Å, b = 9.6704 Å, c = 7.5660 Å
α = 34.70°, β = 34.70°, γ = 24.80°
Sites, in units of the cell vectors:
Ga (0.6619, 0.6619, 0.1996)
Ga (0.3381, 0.3381, 0.8004)
Hg (0.6576, 0.6576, 0.6103)
Hg (0.3424, 0.3424, 0.3897)
Bi (0.9661, 0.9661, 0.7857)
Bi (0.0339, 0.0339, 0.2143)


Entry 2:
## In4GaHg2Bi (PBE)

Data for a relaxed In4GaHg2Bi crystal.

Computed properties:
Energy of formation from the pure elements in eV/atom: 0.0355
Magnetic moment in μB per formula unit: 0.000

a = 4.4906 Å, b = 5.3884 Å, c = 10.0984 Å
α = 60.63°, β = 90.00°, γ = 90.00°
Sites, in units of the cell vectors:
In (0.0000, 0.7489, 0.7557)
In (0.0000, 0.2511, 0.2443)
In (0.5000, 0.7626, 0.2330)
In (0.5000, 0.2374, 0.7670)
Ga (0.5000, 0.5000, 0.0000)
Hg (0.0000, 0.0000, 0.0000)
Hg (0.5000, 0.0000, 0.5000)
Bi (0.0000, 0.5000, 0.5000)


Entry 3:
## KGa2HgBi (PBE)

Data for a relaxed KGa2HgBi crystal.

Computed properties:
Energy of formation from the pure elements in eV/atom: -0.1573
Magnetic moment in μB per formula unit: 0.000

a = 5.1109 Å, b = 4.9011 Å, c = 6.8107 Å
α = 111.09°, β = 112.04°, γ = 90.00°
Sites, in units of the cell vectors:
K (0.4430, 0.4430, 0.8860)
Ga (0.6794, 0.1794, 0.3589)
Ga (0.0789, 0.0789, 0.1578)
Hg (0.1773, 0.6773, 0.3546)
Bi (0.8335, 0.8335, 0.6671)


Entry 4:
## KGaHg2Bi (PBE)

Data for a relaxed KGaHg2Bi crystal.

Computed properties:
Energy of formation from the pure elements in eV/atom: -0.0491
Magnetic moment in μB per formula unit: 0.000

a = 5.5462 Å, b = 5.5462 Å, c = 5.6261 Å
α = 90.00°, β = 90.00°, γ = 90.00°
Sites, in units of the cell vectors:
K (0.5000, 0.5000, 0.5000)
Bi (0.0000, 0.0000, 0.5000)
Ga (0.0000, 0.0000, 0.0000)
Hg (0.0000, 0.5000, 0.0000)
Hg (0.5000, 0.0000, 0.0000)


Entry 5:
## LiGaHgBi (PBE)

Data for a relaxed LiGaHgBi crystal.

Computed properties:
Energy of formation from the pure elements in eV/atom: -0.1266
Magnetic moment in μB per formula unit: 0.000
Energy above the most stable polymorph in this dataset in meV/atom: 0.0

a = 4.7736 Å, b = 4.7743 Å, c = 5.3190 Å
α = 116.92°, β = 116.66°, γ = 90.00°
Sites, in units of the cell vectors:
Li (0.0000, 0.9993, 0.0000)
Ga (0.5000, 0.5005, 0.0000)
Hg (0.7500, 0.2504, 0.5000)
Bi (0.2500, 0.7499, 0.5000)


Entry 6:
## LiGaHgBi (PBE)

Data for a relaxed LiGaHgBi crystal.

Computed properties:
Energy of formation from the pure elements in eV/atom: -0.1082
Magnetic moment in μB per formula unit: 0.000
Energy above the most stable polymorph in this dataset in meV/atom: 18.4

a = 5.1159 Å, b = 5.1159 Å, c = 5.1159 Å
α = 60.00°, β = 60.00°, γ = 60.00°
Sites, in units of the cell vectors:
Li (0.7500, 0.7500, 0.7500)
Bi (0.0000, 0.0000, 0.0000)
Ga (0.2500, 0.2500, 0.2500)
Hg (0.5000, 0.5000, 0.5000)


Entry 7:
## GaHgBiMo2 (PBE)

Data for a relaxed GaHgBiMo2 crystal.

Computed properties:
Energy of formation from the pure elements in eV/atom: 1.2064
Magnetic moment in μB per formula unit: 5.117

a = 4.9355 Å, b = 4.8660 Å, c = 4.9355 Å
α = 90.00°, β = 90.00°, γ = 90.00°
Sites, in units of the cell vectors:
Mo (0.0000, 0.0000, 0.5000)
Mo (0.5000, 0.0000, 0.0000)
Bi (0.5000, 0.5000, 0.5000)
Ga (0.0000, 0.0000, 0.0000)
Hg (0.0000, 0.5000, 0.0000)


Entry 8:
## NaGaHg2Bi (PBE)

Data for a relaxed NaGaHg2Bi crystal.

Computed properties:
Energy of formation from the pure elements in eV/atom: 0.0607
Magnetic moment in μB per formula unit: 0.000

a = 5.3053 Å, b = 5.3053 Å, c = 5.7432 Å
α = 90.00°, β = 90.00°, γ = 90.00°
Sites, in units of the cell vectors:
Na (0.5000, 0.5000, 0.5000)
Bi (0.0000, 0.0000, 0.5000)
Ga (0.0000, 0.0000, 0.0000)
Hg (0.0000, 0.5000, 0.0000)
Hg (0.5000, 0.0000, 0.0000)


Entry 9:
## NdGaHgBi (PBE)

Data for a relaxed NdGaHgBi crystal.

Computed properties:
Energy of formation from the pure elements in eV/atom: -0.2896
Magnetic moment in μB per formula unit: 0.000

a = 5.3429 Å, b = 5.3429 Å, c = 5.3429 Å
α = 60.00°, β = 60.00°, γ = 60.00°
Sites, in units of the cell vectors:
Nd (0.5000, 0.5000, 0.5000)
Bi (0.0000, 0.0000, 0.0000)
Ga (0.2500, 0.2500, 0.2500)
Hg (0.7500, 0.7500, 0.7500)


Entry 10:
## Ga2NiHgBi (PBE)

Data for a relaxed Ga2NiHgBi crystal.

Computed properties:
Energy of formation from the pure elements in eV/atom: -0.0092
Magnetic moment in μB per formula unit: 0.000

a = 4.5968 Å, b = 4.5968 Å, c = 5.4844 Å
α = 90.00°, β = 90.00°, γ = 90.00°
Sites, in units of the cell vectors:
Ni (0.0000, 0.0000, 0.0000)
Bi (0.0000, 0.0000, 0.5000)
Ga (0.0000, 0.5000, 0.0000)
Ga (0.5000, 0.0000, 0.0000)
Hg (0.5000, 0.5000, 0.5000)


Entry 11:
## GaHgBiPb (PBE)

Data for a relaxed GaHgBiPb crystal.

Computed properties:
Energy of formation from the pure elements in eV/atom: 0.0407
Magnetic moment in μB per formula unit: 0.000
Energy above the most stable polymorph in this dataset in meV/atom: 0.0

a = 4.7833 Å, b = 4.7833 Å, c = 9.8227 Å
α = 90.00°, β = 90.00°, γ = 90.00°
Sites, in units of the cell vectors:
Ga (0.5000, 0.5000, 0.0000)
Ga (0.0000, 0.0000, 0.0000)
Hg (0.0000, 0.0000, 0.5000)
Hg (0.5000, 0.5000, 0.5000)
Bi (0.0000, 0.5000, 0.8033)
Bi (0.5000, 0.0000, 0.1967)
Pb (0.5000, 0.0000, 0.7341)
Pb (0.0000, 0.5000, 0.2659)


Entry 12:
## GaHgBiPb (PBE)

Data for a relaxed GaHgBiPb crystal.

Computed properties:
Energy of formation from the pure elements in eV/atom: 0.0787
Magnetic moment in μB per formula unit: 0.000
Energy above the most stable polymorph in this dataset in meV/atom: 38.0

a = 5.4499 Å, b = 5.4499 Å, c = 5.4499 Å
α = 60.00°, β = 60.00°, γ = 60.00°
Sites, in units of the cell vectors:
Pb (0.7500, 0.7500, 0.7500)
Bi (0.5000, 0.5000, 0.5000)
Ga (0.2500, 0.2500, 0.2500)
Hg (0.0000, 0.0000, 0.0000)


Entry 13:
## PmGaHgBi (PBE)

Data for a relaxed PmGaHgBi crystal.

Computed properties:
Energy of formation from the pure elements in eV/atom: -0.2799
Magnetic moment in μB per formula unit: 0.000

a = 5.3245 Å, b = 5.3245 Å, c = 5.3245 Å
α = 60.00°, β = 60.00°, γ = 60.00°
Sites, in units of the cell vectors:
Pm (0.0000, 0.0000, 0.0000)
Bi (0.5000, 0.5000, 0.5000)
Ga (0.2500, 0.2500, 0.2500)
Hg (0.7500, 0.7500, 0.7500)


Entry 14:
## PrGaHgBi (PBE)

Data for a relaxed PrGaHgBi crystal.

Computed properties:
Energy of formation from the pure elements in eV/atom: -0.3002
Magnetic moment in μB per formula unit: 0.000

a = 5.3622 Å, b = 5.3622 Å, c = 5.3622 Å
α = 60.00°, β = 60.00°, γ = 60.00°
Sites, in units of the cell vectors:
Pr (0.5000, 0.5000, 0.5000)
Bi (0.0000, 0.0000, 0.0000)
Ga (0.2500, 0.2500, 0.2500)
Hg (0.7500, 0.7500, 0.7500)


Entry 15:
## RbGaHgBi (PBE)

Data for a relaxed RbGaHgBi crystal.

Computed properties:
Energy of formation from the pure elements in eV/atom: -0.0457
Magnetic moment in μB per formula unit: 0.000

a = 5.6122 Å, b = 5.6122 Å, c = 5.6122 Å
α = 60.00°, β = 60.00°, γ = 60.00°
Sites, in units of the cell vectors:
Ga (0.2500, 0.2500, 0.2500)
Bi (0.0000, 0.0000, 0.0000)
Rb (0.5000, 0.5000, 0.5000)
Hg (0.7500, 0.7500, 0.7500)


Entry 16:
## RbGaHgBi2 (PBE)

Data for a relaxed RbGaHgBi2 crystal.

Computed properties:
Energy of formation from the pure elements in eV/atom: 0.3404
Magnetic moment in μB per formula unit: 0.000

a = 5.8219 Å, b = 6.2767 Å, c = 5.8219 Å
α = 90.00°, β = 90.00°, γ = 90.00°
Sites, in units of the cell vectors:
Ga (0.5000, 0.5000, 0.5000)
Bi (0.0000, 0.0000, 0.5000)
Bi (0.5000, 0.0000, 0.0000)
Rb (0.0000, 0.5000, 0.0000)
Hg (0.0000, 0.0000, 0.0000)


Entry 17:
## GaHgBi2Rh (PBE)

Data for a relaxed GaHgBi2Rh crystal.

Computed properties:
Energy of formation from the pure elements in eV/atom: 0.0725
Magnetic moment in μB per formula unit: 0.000

a = 5.3966 Å, b = 4.7781 Å, c = 5.3966 Å
α = 90.00°, β = 90.00°, γ = 90.00°
Sites, in units of the cell vectors:
Rh (0.0000, 0.0000, 0.0000)
Bi (0.0000, 0.0000, 0.5000)
Bi (0.5000, 0.0000, 0.0000)
Ga (0.0000, 0.5000, 0.0000)
Hg (0.5000, 0.5000, 0.5000)


Entry 18:
## SrGaHg2Bi (PBE)

Data for a relaxed SrGaHg2Bi crystal.

Computed properties:
Energy of formation from the pure elements in eV/atom: -0.2167
Magnetic moment in μB per formula unit: 0.000

a = 5.2703 Å, b = 5.2703 Å, c = 5.8143 Å
α = 90.00°, β = 90.00°, γ = 90.00°
Sites, in units of the cell vectors:
Sr (0.5000, 0.5000, 0.5000)
Bi (0.0000, 0.0000, 0.5000)
Ga (0.0000, 0.0000, 0.0000)
Hg (0.0000, 0.5000, 0.0000)
Hg (0.5000, 0.0000, 0.0000)


Entry 19:
## Sr2GaHg4Bi2 (PBE)

Data for a relaxed Sr2GaHg4Bi2 crystal.

Computed properties:
Energy of formation from the pure elements in eV/atom: -0.3595
Magnetic moment in μB per formula unit: 0.000

a = 7.3943 Å, b = 7.3943 Å, c = 7.3943 Å
α = 84.88°, β = 123.00°, γ = 123.00°
Sites, in units of the cell vectors:
Sr (0.5000, 0.7500, 0.2500)
Sr (0.5000, 0.2500, 0.7500)
Ga (0.0000, 0.0000, 0.0000)
Hg (0.0000, 0.7217, 0.2783)
Hg (0.4434, 0.7217, 0.7217)
Hg (0.0000, 0.2783, 0.7217)
Hg (0.5566, 0.2783, 0.2783)
Bi (0.0000, 0.7388, 0.7388)
Bi (0.0000, 0.2612, 0.2612)


Entry 20:
## Sr3Ga2Hg5Bi2 (PBE)

Data for a relaxed Sr3Ga2Hg5Bi2 crystal.

Computed properties:
Energy of formation from the pure elements in eV/atom: -0.3449
Magnetic moment in μB per formula unit: 0.000

a = 4.6940 Å, b = 4.6940 Å, c = 16.0606 Å
α = 98.40°, β = 98.40°, γ = 90.00°
Sites, in units of the cell vectors:
Sr (0.1651, 0.1651, 0.3303)
Sr (0.8349, 0.8349, 0.6697)
Sr (0.0000, 0.0000, 0.0000)
Ga (0.3624, 0.3624, 0.7247)
Ga (0.6376, 0.6376, 0.2753)
Hg (0.5806, 0.0806, 0.1613)
Hg (0.4194, 0.9194, 0.8387)
Hg (0.0806, 0.5806, 0.1613)
Hg (0.9194, 0.4194, 0.8387)
Hg (0.5000, 0.5000, 0.0000)
Bi (0.7282, 0.7282, 0.4563)
Bi (0.2718, 0.2718, 0.5437)